Density functional theory data (PBE) for a geometry-optimized Ti6Fe5Tc structure.

Unit cell a=4.2158 b=5.9687 c=7.3013 alpha=114.13 beta=106.78 gamma=90.00
Last column: nearest neighbours and their distance in Å.
Fractional positions:
Ti: 0.8317 0.5797 0.6634  7 Fe 2.53-2.59, 1 Tc 2.61
Fe: 0.6668 0.6668 0.3335  8 Ti 2.57-2.58
Fe: 0.6690 0.1690 0.3380  8 Ti 2.53-2.62
Ti: 0.5000 0.2541 0.0000  6 Fe 2.57-2.62, 2 Tc 2.60
Ti: 0.1683 0.4203 0.3366  7 Fe 2.53-2.59, 1 Tc 2.61
Fe: 0.0000 0.5000 0.0000  8 Ti 2.57-2.59
Ti: 0.5000 0.7459 0.0000  6 Fe 2.57-2.62, 2 Tc 2.60
Ti: 0.1683 0.9162 0.3366  7 Fe 2.53-2.59, 1 Tc 2.61
Tc: 0.0000 0.0000 0.0000  8 Ti 2.60-2.61
Ti: 0.8317 0.0838 0.6634  7 Fe 2.53-2.59, 1 Tc 2.61
Fe: 0.3310 0.8310 0.6620  8 Ti 2.53-2.62
Fe: 0.3332 0.3332 0.6665  8 Ti 2.57-2.58

DFT formation energy: -428 meV per atom
SG: Immm

=====

Density functional theory data (PBE) for a geometry-optimized TaFeP2 structure.

Unit cell a=4.3045 b=4.3045 c=4.3045 alpha=129.26 beta=113.89 gamma=87.84
Last column: nearest neighbours and their distance in Å.
Fractional positions:
P: 0.0431 0.0431 0.0000  2 Fe 2.25
Ta: 0.7500 0.2500 0.5000  8 P 2.59-2.68
Fe: 0.2500 0.7500 0.5000  4 P 2.25
P: 0.4569 0.4569 0.0000  2 Fe 2.25

polymorph energy (0 for the lowest one): 96 kJ/mol of formula units
DFT formation energy: -272 meV per atom
SG: Immm